(i)
## MgNiCl2 (PBE-GGA)

Data for a geometry-optimized MgNiCl2 structure.

abc: 3.448 3.448 6.510
angles: 90.00 90.00 90.00
Positions (direct):
Cl 0.000 0.000 0.908
Cl 0.500 0.500 0.361
Mg 0.000 0.000 0.536
Ni 0.500 0.500 0.695

Calculated values
Total magnetization in Bohr magnetons per cell: 0.084
Space-group type: P4mm

---

(ii)
## MgNiCl2 (PBE-GGA)

Data for a geometry-optimized MgNiCl2 structure.

abc: 7.258 7.258 7.258
angles: 29.39 29.39 29.39
Positions (direct):
Ni 0.000 0.000 0.000
Mg 0.500 0.500 0.500
Cl 0.899 0.899 0.899
Cl 0.101 0.101 0.101

Calculated values
Total magnetization in Bohr magnetons per cell: 0.000
Space-group type: R-3m

---

Computed energies relative to the best structure, in eV/atom: (i) 0.034; (ii) 0.000